1.
VASP calculation (PBE) on Ce2NdTl4 after structural relaxation.

Its total moment is 0.38 μB/atom. As for the space group: I4/mmm. The energy above the most stable polymorph in this dataset is 0.043 eV/atom.

Unit cell a=6.6697 b=6.6697 c=6.6697 alpha=117.18 beta=105.76 gamma=105.76
With the nearest neighbours (Å) after each atom.
Element x y z (fractional)
Tl: 0.5000 0.0000 0.0000  2 Nd 3.33, 4 Ce 3.33, 2 Tl 3.48
Tl: 0.5000 0.5000 0.5000  2 Nd 3.33, 4 Ce 3.33, 2 Tl 3.48
Tl: 0.0000 0.0000 0.5000  4 Ce 3.33, 2 Nd 3.33, 2 Tl 3.48
Tl: 0.0000 0.5000 0.0000  4 Ce 3.33, 2 Nd 3.33, 2 Tl 3.48
Nd: 0.0000 0.0000 0.0000  8 Tl 3.33
Ce: 0.5000 0.5000 0.0000  8 Tl 3.33, 2 Ce 3.48
Ce: 0.5000 0.0000 0.5000  8 Tl 3.33, 2 Ce 3.48


2.
VASP calculation (PBE) on Ce2NdTl after structural relaxation.

Its total moment is 0.00 μB/atom. As for the space group: P2_1/m. The energy above the most stable polymorph in this dataset is 0.000 eV/atom.

Unit cell a=4.6760 b=4.3511 c=11.6887 alpha=90.00 beta=98.99 gamma=90.00
With the nearest neighbours (Å) after each atom.
Element x y z (fractional)
Ce: 0.6158 0.2500 0.1138  2 Ce 2.82
Ce: 0.3842 0.7500 0.8862  2 Ce 2.82
Ce: 0.9981 0.7500 0.1087  2 Ce 2.82
Ce: 0.0019 0.2500 0.8913  2 Ce 2.82
Nd: 0.7002 0.7500 0.3926  5 Tl 3.27-3.32
Nd: 0.2998 0.2500 0.6073  5 Tl 3.27-3.32
Tl: 0.1813 0.2500 0.3231  5 Nd 3.27-3.32, 4 Ce 3.31-3.42
Tl: 0.8187 0.7500 0.6769  5 Nd 3.27-3.32, 4 Ce 3.31-3.42


3.
VASP calculation (PBE) on CeNd4Tl3 after structural relaxation.

Its total moment is 0.07 μB/atom. For the total energy, the calculation gives -4.2512 eV/atom. As for the space group: Pmmm.

Unit cell a=3.7207 b=5.6041 c=11.5447 alpha=90.00 beta=90.00 gamma=90.00
With the nearest neighbours (Å) after each atom.
Element x y z (fractional)
Tl: 0.5000 0.0000 0.2408  8 Nd 3.35-3.52, 2 Tl 3.72
Tl: 0.5000 0.5000 0.5000  8 Nd 3.36-3.38, 2 Tl 3.72
Tl: 0.5000 0.0000 0.7592  8 Nd 3.35-3.52, 2 Tl 3.72
Nd: 0.0000 0.0000 0.5000  8 Tl 3.36-3.52, 2 Nd 3.72
Nd: 0.0000 0.5000 0.7449  6 Tl 3.37-3.38, 2 Ce 3.48, 2 Nd 3.72
Nd: 0.0000 0.0000 0.0000  4 Tl 3.35, 4 Ce 3.36, 2 Nd 3.72
Nd: 0.0000 0.5000 0.2551  6 Tl 3.37-3.38, 2 Ce 3.48, 2 Nd 3.72
Ce: 0.5000 0.5000 0.0000  8 Nd 3.36-3.48, 2 Ce 3.72


4.
VASP calculation (PBE) on Ce2Nd3Tl3 after structural relaxation.

Its total moment is 0.25 μB/atom. For the total energy, the calculation gives -4.3895 eV/atom. As for the space group: Immm.

Unit cell a=4.5564 b=4.9579 c=11.0508 alpha=102.96 beta=101.90 gamma=90.00
With the nearest neighbours (Å) after each atom.
Element x y z (fractional)
Ce: 0.7440 0.2440 0.4880  4 Tl 3.32-3.64, 4 Ce 3.38, 4 Nd 3.59-3.65
Ce: 0.2560 0.7560 0.5120  4 Tl 3.32-3.64, 4 Ce 3.38, 4 Nd 3.59-3.65
Nd: 0.6208 0.6208 0.2416  6 Tl 3.37-3.41, 2 Nd 3.55, 4 Ce 3.59-3.65
Nd: 0.3792 0.3792 0.7584  6 Tl 3.37-3.41, 2 Nd 3.55, 4 Ce 3.59-3.65
Nd: 0.5000 0.0000 0.0000  8 Tl 3.37-3.55, 4 Nd 3.55
Tl: 0.1291 0.1291 0.2582  4 Ce 3.32-3.64, 6 Nd 3.37-3.55, 2 Tl 3.68
Tl: 0.0000 0.5000 0.0000  8 Nd 3.37-3.41, 4 Tl 3.68
Tl: 0.8709 0.8709 0.7418  4 Ce 3.32-3.64, 6 Nd 3.37-3.55, 2 Tl 3.68


5.
VASP calculation (PBE) on CeNd2Tl after structural relaxation.

Its total moment is 0.22 μB/atom. As for the space group: P4/mmm. The energy above the most stable polymorph in this dataset is 0.000 eV/atom.

Unit cell a=4.7781 b=5.0224 c=5.0224 alpha=90.00 beta=90.00 gamma=90.00
With the nearest neighbours (Å) after each atom.
Element x y z (fractional)
Tl: 0.5000 0.0000 0.0000  8 Nd 3.47, 4 Ce 3.55
Nd: 0.0000 0.0000 0.5000  4 Tl 3.47, 4 Ce 3.47, 4 Nd 3.55
Nd: 0.0000 0.5000 0.0000  4 Ce 3.47, 4 Tl 3.47, 4 Nd 3.55
Ce: 0.5000 0.5000 0.5000  8 Nd 3.47, 4 Tl 3.55


6.
VASP calculation (PBE) on CeNd7Tl4 after structural relaxation.

Its total moment is 0.09 μB/atom. For the total energy, the calculation gives -4.1251 eV/atom. As for the space group: C2/m.

Unit cell a=5.9058 b=9.4155 c=8.1673 alpha=69.58 beta=68.80 gamma=71.72
With the nearest neighbours (Å) after each atom.
Element x y z (fractional)
Ce: 0.0000 0.0000 0.0000  2 Nd 2.95
Nd: 0.8011 0.8819 0.5159  4 Tl 3.52-3.88, 6 Nd 3.55-3.86, 1 Ce 3.79
Nd: 0.1989 0.1181 0.4841  4 Tl 3.52-3.88, 6 Nd 3.55-3.86, 1 Ce 3.79
Nd: 0.0676 0.5964 0.2684  5 Tl 3.29-3.67, 3 Nd 3.49-3.55, 1 Ce 3.64
Nd: 0.9324 0.4036 0.7316  5 Tl 3.29-3.67, 3 Nd 3.49-3.55, 1 Ce 3.64
Nd: 0.2550 0.6988 0.7912  4 Tl 3.09-3.24
Nd: 0.5000 0.0000 0.0000  2 Ce 2.95, 2 Tl 3.11
Nd: 0.7450 0.3012 0.2088  4 Tl 3.09-3.24
Tl: 0.5484 0.2842 0.6189  4 Nd 3.09-3.33, 1 Tl 3.28
Tl: 0.4516 0.7158 0.3811  4 Nd 3.09-3.33, 1 Tl 3.28
Tl: 0.6842 0.6592 0.9724  5 Nd 3.11-3.29, 1 Tl 3.28
Tl: 0.3158 0.3408 0.0276  5 Nd 3.11-3.29, 1 Tl 3.28


7.
VASP calculation (PBE) on Ce5NdTl8 after structural relaxation.

Its total moment is 0.45 μB/atom. For the total energy, the calculation gives -3.9787 eV/atom. As for the space group: I-4.

Unit cell a=8.2582 b=8.2582 c=8.2582 alpha=109.47 beta=109.47 gamma=109.47
With the nearest neighbours (Å) after each atom.
Element x y z (fractional)
Ce: 0.9995 0.3742 0.1240  8 Tl 3.29-3.31
Ce: 0.8760 0.8755 0.2502  8 Tl 3.29-3.31
Ce: 0.7498 0.6258 0.6253  8 Tl 3.29-3.31
Ce: 0.5000 0.0000 0.5000  8 Tl 3.30-3.31
Ce: 0.3747 0.1245 0.0005  8 Tl 3.29-3.31
Nd: 0.2500 0.5000 0.7500  8 Tl 3.30
Tl: 0.1236 0.7485 0.0417  5 Ce 3.29-3.31, 1 Nd 3.30, 3 Tl 3.54-3.57
Tl: 0.9583 0.0819 0.7068  5 Ce 3.29-3.31, 1 Nd 3.30, 3 Tl 3.54-3.57
Tl: 0.7922 0.2510 0.3752  1 Nd 3.30, 5 Ce 3.30-3.31, 3 Tl 3.54-3.56
Tl: 0.6248 0.4171 0.8758  1 Nd 3.30, 5 Ce 3.30-3.31, 3 Tl 3.54-3.56
Tl: 0.4588 0.5829 0.2078  1 Nd 3.30, 5 Ce 3.30-3.31, 3 Tl 3.54-3.56
Tl: 0.6249 0.9181 0.8764  5 Ce 3.29-3.31, 1 Nd 3.30, 3 Tl 3.54-3.57
Tl: 0.2932 0.2515 0.3751  5 Ce 3.29-3.31, 1 Nd 3.30, 3 Tl 3.54-3.57
Tl: 0.1242 0.7490 0.5412  1 Nd 3.30, 5 Ce 3.30-3.31, 3 Tl 3.54-3.56


8.
VASP calculation (PBE) on Ce5NdTl6 after structural relaxation.

Its total moment is 0.57 μB/atom. For the total energy, the calculation gives -4.3167 eV/atom. As for the space group: Immm.

Unit cell a=4.9712 b=9.1359 c=9.1359 alpha=109.68 beta=105.77 gamma=105.77
With the nearest neighbours (Å) after each atom.
Element x y z (fractional)
Tl: 0.2487 0.0830 0.4144  7 Ce 3.35-3.41, 1 Nd 3.38, 4 Tl 3.51-3.54
Tl: 0.7513 0.5856 0.9170  7 Ce 3.35-3.41, 1 Nd 3.38, 4 Tl 3.51-3.54
Tl: 0.7483 0.2483 0.2483  2 Nd 3.39, 6 Ce 3.40-3.47, 4 Tl 3.51
Tl: 0.2517 0.7517 0.7517  2 Nd 3.39, 6 Ce 3.40-3.47, 4 Tl 3.51
Tl: 0.2487 0.4144 0.0830  7 Ce 3.35-3.41, 1 Nd 3.38, 4 Tl 3.51-3.54
Tl: 0.7513 0.9170 0.5856  7 Ce 3.35-3.41, 1 Nd 3.38, 4 Tl 3.51-3.54
Nd: 0.0000 0.0000 0.0000  8 Tl 3.38-3.39, 4 Ce 3.59
Ce: 0.5000 0.1733 0.8267  8 Tl 3.35-3.47, 2 Ce 3.46, 2 Nd 3.59
Ce: 0.0000 0.3341 0.6659  8 Tl 3.40-3.41, 4 Ce 3.46-3.51
Ce: 0.5000 0.5000 0.5000  8 Tl 3.40-3.41, 4 Ce 3.51
Ce: 0.0000 0.6659 0.3341  8 Tl 3.40-3.41, 4 Ce 3.46-3.51
Ce: 0.5000 0.8267 0.1733  8 Tl 3.35-3.47, 2 Ce 3.46, 2 Nd 3.59


9.
VASP calculation (PBE) on CeNd2TmTl4 after structural relaxation.

Its total moment is 0.14 μB/atom. For the total energy, the calculation gives -3.9845 eV/atom. As for the space group: R-3m.

Unit cell a=5.4648 b=5.4648 c=9.5426 alpha=73.36 beta=73.36 gamma=60.00
With the nearest neighbours (Å) after each atom.
Element x y z (fractional)
Ce: 0.5000 0.5000 0.5000  8 Tl 3.36-3.41
Nd: 0.7482 0.7482 0.7554  8 Tl 3.30-3.46
Nd: 0.2518 0.2518 0.2446  8 Tl 3.30-3.46
Tm: 0.0000 0.0000 0.0000  8 Tl 3.34
Tl: 0.3740 0.3740 0.8781  4 Nd 3.30-3.34, 3 Tm 3.34, 1 Ce 3.41
Tl: 0.8763 0.8763 0.3711  1 Tm 3.34, 4 Nd 3.35-3.46, 3 Ce 3.36
Tl: 0.1237 0.1237 0.6289  1 Tm 3.34, 4 Nd 3.35-3.46, 3 Ce 3.36
Tl: 0.6260 0.6260 0.1219  4 Nd 3.30-3.34, 3 Tm 3.34, 1 Ce 3.41


10.
VASP calculation (PBE) on Ce2NdTmTl4 after structural relaxation.

Its total moment is 0.28 μB/atom. For the total energy, the calculation gives -4.0954 eV/atom. As for the space group: R-3m.

Unit cell a=5.4651 b=5.4651 c=9.5037 alpha=73.29 beta=73.29 gamma=60.00
With the nearest neighbours (Å) after each atom.
Element x y z (fractional)
Ce: 0.7510 0.7510 0.7469  8 Tl 3.30-3.43
Ce: 0.2490 0.2490 0.2531  8 Tl 3.30-3.43
Nd: 0.0000 0.0000 0.0000  8 Tl 3.36-3.40
Tm: 0.5000 0.5000 0.5000  8 Tl 3.32-3.34
Tl: 0.3766 0.3766 0.8702  1 Tm 3.32, 4 Ce 3.34-3.43, 3 Nd 3.36
Tl: 0.8737 0.8737 0.3790  4 Ce 3.30-3.35, 3 Tm 3.34, 1 Nd 3.40
Tl: 0.1263 0.1263 0.6210  4 Ce 3.30-3.35, 3 Tm 3.34, 1 Nd 3.40
Tl: 0.6234 0.6234 0.1298  1 Tm 3.32, 4 Ce 3.34-3.43, 3 Nd 3.36


11.
VASP calculation (PBE) on CeNdYTl after structural relaxation.

Its total moment is 0.07 μB/atom. For the total energy, the calculation gives -4.8789 eV/atom. As for the space group: F-43m.

Unit cell a=5.4875 b=5.4875 c=5.4875 alpha=60.00 beta=60.00 gamma=60.00
With the nearest neighbours (Å) after each atom.
Element x y z (fractional)
Y: 0.2500 0.2500 0.2500  4 Tl 3.36, 4 Ce 3.36
Tl: 0.5000 0.5000 0.5000  4 Y 3.36, 4 Nd 3.36
Nd: 0.7500 0.7500 0.7500  4 Tl 3.36, 4 Ce 3.36
Ce: 0.0000 0.0000 0.0000  4 Nd 3.36, 4 Y 3.36


12.
VASP calculation (PBE) on CeNd2Tl2Zn2 after structural relaxation.

Its total moment is 0.18 μB/atom. For the total energy, the calculation gives -3.4047 eV/atom. As for the space group: R-3m.

Unit cell a=4.8236 b=4.8236 c=9.8344 alpha=75.80 beta=75.80 gamma=60.00
With the nearest neighbours (Å) after each atom.
Element x y z (fractional)
Ce: 0.0000 0.0000 0.0000  6 Zn 3.24, 6 Tl 3.40, 2 Nd 3.57
Nd: 0.1263 0.1263 0.6211  3 Tl 3.22, 3 Zn 3.38, 1 Ce 3.57, 3 Nd 3.60
Nd: 0.8737 0.8737 0.3789  3 Tl 3.22, 3 Zn 3.38, 1 Ce 3.57, 3 Nd 3.60
Tl: 0.7355 0.7355 0.7934  3 Zn 2.80
Tl: 0.2645 0.2645 0.2066  3 Zn 2.80
Zn: 0.6078 0.6078 0.1765  3 Tl 2.80
Zn: 0.3922 0.3922 0.8235  3 Tl 2.80